Density functional theory data (PBE-GGA) for an optimized crystal structure of Ba2ClF3.

```
18
Lattice="8.6695 -2.1285 0.0000 8.6695 2.1285 0.0000 -2.2879 0.0000 10.5584" Properties=species:S:1:pos:R:3 pbc="T T T"
Ba -0.0184 0.0000 3.0467
Ba 0.2514 0.0000 10.1432
Ba 4.5008 0.0000 3.8190
Ba 10.5503 0.0000 6.7394
Ba 14.7997 0.0000 0.4152
Ba 15.0695 0.0000 7.5118
Cl 4.0599 0.0000 8.3356
Cl 7.5255 0.0000 5.2792
Cl 10.9911 0.0000 2.2229
F 0.0000 0.0000 0.0000
F 0.4834 0.0000 7.5032
F 1.9774 0.0000 4.9346
F 4.6943 0.0000 1.1010
F 7.5663 0.0000 1.9209
F 7.4847 0.0000 8.6376
F 10.3567 0.0000 9.4574
F 13.0736 0.0000 5.6239
F 14.5677 0.0000 3.0552
```

Output
The space group is No. 12. The total energy is -5.38 eV/atom. The value obtained for the energy above the most stable polymorph in this dataset is 12 meV/atom.


Density functional theory data (PBE-GGA) for an optimized crystal structure of Ba2ClF2.

```
5
Lattice="-2.2888 2.2888 6.7588 2.2888 -2.2888 6.7588 2.2888 2.2888 -6.7588" Properties=species:S:1:pos:R:3 pbc="T T T"
Ba 0.0000 0.0000 1.9983
Ba 0.0000 0.0000 11.5192
Cl 0.0000 0.0000 6.7588
F 2.2888 0.0000 3.3794
F 0.0000 2.2888 3.3794
```

Output
The space group is No. 139. The total energy is -4.76 eV/atom.